## BeTcAg2 (meta-GGA SCAN)

Data for a crystal of BeTcAg2 relaxed with PBEsol.

* raw total energy: -25.0479 eV per atom
* space group: Pmmm, No. 47
* total moment: 0.587 μB/cell
* ρ: 9.38 g/cm3

abc: 2.6806 4.5365 4.6978
angles: 90.00 90.00 90.00
Last column: nearest neighbours and their distance in Å.
Positions (direct):
Ag 0.5000 0.5000 0.0000  6 Ag 2.63-2.68, 4 Tc 2.70
Ag 0.0000 0.0000 0.0000  6 Ag 2.63-2.68, 4 Be 2.70
Be 0.5000 0.0000 0.5000  4 Tc 2.63, 2 Be 2.68, 4 Ag 2.70
Tc 0.0000 0.5000 0.5000  4 Be 2.63, 2 Tc 2.68, 4 Ag 2.70